No. 1
Compound: Y2MgPbO6
Source: Alexandria via LeMat-Bulk
Functional: PBE-GGA
Structure: relaxed

a b c (Å): 5.6693 5.6693 5.9312
angles (deg): 61.45 61.45 59.99
With the nearest neighbours (Å) after each atom.
Atoms (fractional coordinates):
Y: 0.5259 0.5259 0.4222  6 O 2.26-2.36
Y: 0.0294 0.0294 0.9119  6 O 2.25-2.38
Mg: 0.8101 0.8102 0.5694  6 O 2.10-2.24
Pb: 0.3115 0.3115 0.0655  6 O 2.17-2.29
O: 0.6135 0.1902 0.2617  1 Pb 2.17, 1 Mg 2.24, 2 Y 2.26-2.38
O: 0.1903 0.9346 0.2617  1 Pb 2.17, 1 Mg 2.24, 2 Y 2.26-2.38
O: 0.9346 0.6135 0.2617  1 Pb 2.17, 1 Mg 2.24, 2 Y 2.26-2.38
O: 0.4419 0.6998 0.7537  1 Mg 2.10, 1 Y 2.25, 1 Pb 2.29
O: 0.6998 0.1045 0.7538  1 Mg 2.10, 1 Y 2.25, 1 Pb 2.29
O: 0.1045 0.4419 0.7537  1 Mg 2.10, 1 Y 2.25, 1 Pb 2.29

Values from the calculation:
Uncorrected formation energy: -25.31 eV per formula unit
Total magnetization: 0.000 μB/f.u.


No. 2
Compound: Y2MgPbO
Source: Alexandria via LeMat-Bulk
Functional: PBE-GGA
Structure: relaxed

a b c (Å): 4.8991 4.8991 4.3976
angles (deg): 90.00 90.00 90.00
With the nearest neighbours (Å) after each atom.
Atoms (fractional coordinates):
Pb: 0.5000 0.5000 0.5000  8 Y 3.29, 4 Mg 3.46
Y: 0.0000 0.5000 0.0000  2 O 2.45
Y: 0.5000 0.0000 0.0000  2 O 2.45
Mg: 0.0000 0.0000 0.5000  2 O 2.20
O: 0.0000 0.0000 0.0000  2 Mg 2.20, 4 Y 2.45

Values from the calculation:
Uncorrected formation energy: -6.36 eV per formula unit
Total magnetization: 0.000 μB/f.u.


No. 3
Compound: Mg2Zn2PbO6
Source: Alexandria via LeMat-Bulk
Functional: PBE-GGA
Structure: relaxed

a b c (Å): 5.3256 5.3256 5.1667
angles (deg): 90.00 90.00 120.00
With the nearest neighbours (Å) after each atom.
Atoms (fractional coordinates):
Mg: 0.3333 0.6667 0.5000  6 O 2.17
Mg: 0.6667 0.3333 0.5000  6 O 2.17
Zn: 0.3333 0.6667 0.0000  6 O 2.13
Zn: 0.6667 0.3333 0.0000  6 O 2.13
Pb: 0.0000 0.0000 0.0000  6 O 2.27
O: 0.3547 0.3547 0.7564  2 Zn 2.13, 2 Mg 2.17, 1 Pb 2.27
O: 0.0000 0.6453 0.7564  2 Zn 2.13, 2 Mg 2.17, 1 Pb 2.27
O: 0.6453 0.0000 0.7564  2 Zn 2.13, 2 Mg 2.17, 1 Pb 2.27
O: 0.6453 0.6453 0.2436  2 Zn 2.13, 2 Mg 2.17, 1 Pb 2.27
O: 0.0000 0.3547 0.2436  2 Zn 2.13, 2 Mg 2.17, 1 Pb 2.27
O: 0.3547 0.0000 0.2436  2 Zn 2.13, 2 Mg 2.17, 1 Pb 2.27

Values from the calculation:
Uncorrected formation energy: -17.43 eV per formula unit
Total magnetization: 0.000 μB/f.u.


No. 4
Compound: MgZr2PbO
Source: Alexandria via LeMat-Bulk
Functional: PBE-GGA
Structure: relaxed

a b c (Å): 5.1627 4.9055 5.1627
angles (deg): 90.00 90.00 90.00
With the nearest neighbours (Å) after each atom.
Atoms (fractional coordinates):
Pb: 0.0000 0.5000 0.0000  2 Mg 2.45
Mg: 0.0000 0.0000 0.0000  2 Pb 2.45, 4 Zr 2.58
O: 0.5000 0.5000 0.5000  8 Zr 3.56, 4 Pb 3.65
Zr: 0.0000 0.0000 0.5000  2 Mg 2.58
Zr: 0.5000 0.0000 0.0000  2 Mg 2.58

Values from the calculation:
Uncorrected formation energy: 6.56 eV per formula unit
Total magnetization: 0.000 μB/f.u.


No. 5
Compound: MgZr2PbO
Source: Alexandria via LeMat-Bulk
Functional: PBE-GGA
Structure: relaxed

a b c (Å): 4.6324 4.6324 4.2926
angles (deg): 90.00 90.00 90.00
With the nearest neighbours (Å) after each atom.
Atoms (fractional coordinates):
Pb: 0.5000 0.5000 0.5000  8 Zr 3.16, 4 Mg 3.28
Mg: 0.0000 0.0000 0.5000  2 O 2.15
O: 0.0000 0.0000 0.0000  2 Mg 2.15, 4 Zr 2.32
Zr: 0.0000 0.5000 0.0000  2 O 2.32
Zr: 0.5000 0.0000 0.0000  2 O 2.32

Values from the calculation:
Uncorrected formation energy: -4.60 eV per formula unit
Total magnetization: 0.000 μB/f.u.


No. 6
Compound: MgPdO
Source: Alexandria via LeMat-Bulk
Functional: PBE-GGA
Structure: relaxed

a b c (Å): 3.8240 3.8240 6.6211
angles (deg): 90.00 90.00 120.00
With the nearest neighbours (Å) after each atom.
Atoms (fractional coordinates):
Mg: 0.0000 0.0000 0.0000  6 O 2.76, 6 Pd 2.76
Mg: 0.0000 0.0000 0.5000  6 O 2.76, 6 Pd 2.76
O: 0.3333 0.6667 0.2500  3 Pd 2.21
O: 0.6667 0.3333 0.7500  3 Pd 2.21
Pd: 0.3333 0.6667 0.7500  3 O 2.21
Pd: 0.6667 0.3333 0.2500  3 O 2.21

Values from the calculation:
Uncorrected formation energy: -1.47 eV per formula unit
Total magnetization: 0.000 μB/f.u.


No. 7
Compound: MgPd3O
Source: Alexandria via LeMat-Bulk
Functional: PBE-GGA
Structure: relaxed

a b c (Å): 4.6541 4.6541 4.6541
angles (deg): 90.00 90.00 90.00
With the nearest neighbours (Å) after each atom.
Atoms (fractional coordinates):
Mg: 0.0000 0.0000 0.0000  6 Pd 2.33
O: 0.5000 0.5000 0.5000  12 Pd 3.29
Pd: 0.0000 0.5000 0.0000  2 Mg 2.33
Pd: 0.0000 0.0000 0.5000  2 Mg 2.33
Pd: 0.5000 0.0000 0.0000  2 Mg 2.33

Values from the calculation:
Uncorrected formation energy: 5.78 eV per formula unit
Total magnetization: 0.000 μB/f.u.


No. 8
Compound: MgPdO
Source: Alexandria via LeMat-Bulk
Functional: PBE-GGA
Structure: relaxed

a b c (Å): 2.9426 5.5117 5.7500
angles (deg): 113.71 90.07 105.47
With the nearest neighbours (Å) after each atom.
Atoms (fractional coordinates):
Mg: 0.6930 0.7655 0.8337  4 O 1.98-2.08
Mg: 0.4842 0.3473 0.0154  3 O 1.92-2.02
Pd: 0.9511 0.2721 0.3887  2 Mg 2.76-2.77, 5 Pd 2.84-2.94, 1 O 3.01
Pd: 0.2122 0.8051 0.3708  2 O 2.03-2.14
O: 0.2956 0.9712 0.7599  3 Mg 1.92-1.98, 1 Pd 2.03
O: 0.0998 0.5790 0.9632  4 Mg 2.02-2.08, 1 Pd 2.14

Values from the calculation:
Uncorrected formation energy: -4.03 eV per formula unit
Total magnetization: 0.000 μB/f.u.


Q: What is the uncorrected formation energy in the seventh record?
A: 5.78 eV per formula unit


Q: What is the formula in the eighth record?
A: MgPdO